Below is a geometry-optimized FeTc4Hg structure, with properties calculated at the PBE-GGA level. Values from VASP.

Output
ρ ... 11.10 g/cm³
Formation energy ... 587 meV/atom
E_tot ... -7.78 eV per atom
SG ... F-43m (216)
Density of states at the Fermi level ... 1.108 states/eV/atom

```
&SYSTEM
  ibrav = 0, nat = 6, ntyp = 3
/
ATOMIC_SPECIES
Fe 55.84 Fe.upf
Tc 98.00 Tc.upf
Hg 200.59 Hg.upf
ATOMIC_POSITIONS crystal
Fe 0.750 0.750 0.750
Tc 0.875 0.375 0.375
Tc 0.375 0.375 0.875
Tc 0.375 0.875 0.375
Tc 0.375 0.375 0.375
Hg 0.000 0.000 0.000
CELL_PARAMETERS angstrom
1.406 -0.804 4.896
3.059 3.391 2.394
-1.899 2.985 3.751
```

=====

Below is a geometry-optimized Sm2HPb structure, with properties calculated at the PBE-GGA level. Values from VASP.

Output
ρ ... 8.98 g/cm³
E_tot ... -4.49 eV per atom
SG ... R-3m (166)
Energy above the lowest structure with this stoichiometry ... 212 meV/atom
Density of states at the Fermi level ... 0.760 states/eV/atom

```
&SYSTEM
  ibrav = 0, nat = 4, ntyp = 3
/
ATOMIC_SPECIES
Pb 207.20 Pb.upf
H 1.01 H.upf
Sm 150.36 Sm.upf
ATOMIC_POSITIONS crystal
Pb 0.500 0.500 0.500
H 0.000 0.000 0.000
Sm 0.276 0.276 0.173
Sm 0.724 0.724 0.827
CELL_PARAMETERS angstrom
-0.901 -3.506 -0.355
2.596 -2.509 -0.440
1.034 -2.950 7.879
```

=====

Below is a geometry-optimized YHf2Pt2 structure, with properties calculated at the PBE-GGA level. Values from VASP.

Output
ρ ... 13.72 g/cm³
Formation energy ... -747 meV/atom
E_tot ... -8.44 eV per atom
SG ... P4/mbm (127)
Energy above the lowest structure with this stoichiometry ... 186 meV/atom
Density of states at the Fermi level ... 0.849 states/eV/atom

```
&SYSTEM
  ibrav = 0, nat = 10, ntyp = 3
/
ATOMIC_SPECIES
Y 88.91 Y.upf
Hf 178.49 Hf.upf
Pt 195.08 Pt.upf
ATOMIC_POSITIONS crystal
Y 0.000 0.000 0.000
Y 0.500 0.500 0.000
Hf 0.351 0.851 0.000
Hf 0.851 0.649 0.000
Hf 0.649 0.149 0.000
Hf 0.149 0.351 0.000
Pt 0.147 0.647 0.500
Pt 0.647 0.853 0.500
Pt 0.853 0.353 0.500
Pt 0.353 0.147 0.500
CELL_PARAMETERS angstrom
-1.867 -4.567 6.264
-5.545 -3.716 -4.362
2.163 -2.147 -0.921
```

=====

Below is a geometry-optimized PmPrTe4 structure, with properties calculated at the PBE-GGA level. Values from VASP.

Output
ρ ... 6.12 g/cm³
Formation energy from raw total energies ... -1.041 eV per atom
E_tot ... -4.72 eV per atom
SG ... I4_1/amd (141)
Density of states at the Fermi level ... 0.455 states/eV/atom

```
&SYSTEM
  ibrav = 0, nat = 12, ntyp = 3
/
ATOMIC_SPECIES
Pm 145.00 Pm.upf
Pr 140.91 Pr.upf
Te 127.60 Te.upf
ATOMIC_POSITIONS crystal
Pm 0.000 0.000 0.000
Pm 0.750 0.250 0.500
Pr 0.250 0.750 0.500
Pr 0.500 0.500 0.000
Te 0.122 0.125 0.750
Te 0.875 0.878 0.250
Te 0.122 0.625 0.750
Te 0.375 0.372 0.250
Te 0.628 0.125 0.750
Te 0.628 0.625 0.750
Te 0.375 0.878 0.250
Te 0.875 0.372 0.250
CELL_PARAMETERS angstrom
-2.805 -6.736 0.605
6.758 -2.817 -0.019
-1.701 5.383 7.741
```

=====

Below is a geometry-optimized Th3Cu2Si4 structure, with properties calculated at the PBE-GGA level. Values from VASP.

Output
ρ ... 8.54 g/cm³
Formation energy from raw total energies ... -0.732 eV per atom
E_tot ... -6.53 eV per atom
SG ... C2/m (12)
Density of states at the Fermi level ... 0.234 states/eV/atom

```
&SYSTEM
  ibrav = 0, nat = 9, ntyp = 3
/
ATOMIC_SPECIES
Th 232.04 Th.upf
Cu 63.55 Cu.upf
Si 28.09 Si.upf
ATOMIC_POSITIONS crystal
Th 0.665 0.330 0.670
Th 0.000 0.000 0.000
Th 0.335 0.670 0.330
Cu 0.611 0.222 0.281
Cu 0.389 0.778 0.719
Si 0.718 0.437 0.058
Si 0.282 0.563 0.942
Si 0.939 0.878 0.610
Si 0.061 0.122 0.390
CELL_PARAMETERS angstrom
4.101 0.000 0.000
-2.051 5.372 -1.096
0.000 0.357 8.188
```

=====

Below is a geometry-optimized Ac4PSe2N2 structure, with properties calculated at the PBE-GGA level. Values from VASP.

Output
ρ ... 7.53 g/cm³
Formation energy from raw total energies ... -1.465 eV per atom
E_tot ... -6.52 eV per atom
SG ... C2/m (12)
Density of states at the Fermi level ... 0.755 states/eV/atom

```
&SYSTEM
  ibrav = 0, nat = 9, ntyp = 4
/
ATOMIC_SPECIES
Ac 227.00 Ac.upf
P 30.97 P.upf
Se 78.96 Se.upf
N 14.01 N.upf
ATOMIC_POSITIONS crystal
Ac 0.785 0.570 0.826
Ac 0.215 0.430 0.174
Ac 0.470 0.940 0.246
Ac 0.530 0.060 0.754
P 0.000 0.000 0.000
Se 0.874 0.747 0.465
Se 0.126 0.253 0.535
N 0.325 0.651 0.017
N 0.675 0.349 0.983
CELL_PARAMETERS angstrom
-3.512 -1.303 -1.971
-0.522 -3.285 7.648
-2.698 7.308 -0.021
```

=====

Below is a geometry-optimized TmNiAu structure, with properties calculated at the PBE-GGA level. Values from VASP.

Output
ρ ... 11.66 g/cm³
Formation energy ... -487 meV/atom
E_tot ... -5.00 eV per atom
SG ... F-43m (216)
Density of states at the Fermi level ... 0.380 states/eV/atom

```
&SYSTEM
  ibrav = 0, nat = 3, ntyp = 3
/
ATOMIC_SPECIES
Ni 58.69 Ni.upf
Tm 168.93 Tm.upf
Au 196.97 Au.upf
ATOMIC_POSITIONS crystal
Ni 0.250 0.250 0.250
Tm 0.500 0.500 0.500
Au 0.000 0.000 0.000
CELL_PARAMETERS angstrom
4.405 0.000 0.000
2.203 3.815 0.000
2.203 1.272 3.597
```

=====

Below is a geometry-optimized SmTh2Pt3 structure, with properties calculated at the PBE-GGA level. Values from VASP.

Output
ρ ... 12.82 g/cm³
Formation energy ... -1191 meV/atom
E_tot ... -7.47 eV per atom
SG ... Fddd (70)
Density of states at the Fermi level ... 0.459 states/eV/atom

```
&SYSTEM
  ibrav = 0, nat = 24, ntyp = 3
/
ATOMIC_SPECIES
Sm 150.36 Sm.upf
Th 232.04 Th.upf
Pt 195.08 Pt.upf
ATOMIC_POSITIONS crystal
Sm 0.917 0.917 0.833
Sm 0.333 0.833 0.667
Sm 0.167 0.667 0.333
Sm 0.083 0.083 0.167
Th 0.000 0.500 0.999
Th 0.417 0.417 0.834
Th 0.833 0.333 0.666
Th 0.250 0.250 0.501
Th 0.750 0.750 0.499
Th 0.667 0.167 0.334
Th 0.583 0.583 0.166
Th 0.500 0.000 0.001
Pt 0.168 0.664 0.835
Pt 0.667 0.171 0.835
Pt 0.082 0.086 0.665
Pt 0.583 0.579 0.665
Pt 0.997 0.497 0.500
Pt 0.503 0.003 0.500
Pt 0.421 0.417 0.335
Pt 0.914 0.918 0.335
Pt 0.829 0.333 0.165
Pt 0.336 0.832 0.165
Pt 0.253 0.253 0.000
Pt 0.747 0.747 0.000
CELL_PARAMETERS angstrom
7.106 0.010 -1.309
-2.739 6.557 -1.309
0.024 0.035 13.314
```

=====

Below is a geometry-optimized LiAcIn2Ag structure, with properties calculated at the PBE-GGA level. Values from VASP.

Output
ρ ... 7.30 g/cm³
Formation energy ... -320 meV/atom
E_tot ... -3.19 eV per atom
SG ... I-4m2 (119)
Density of states at the Fermi level ... 0.594 states/eV/atom

```
&SYSTEM
  ibrav = 0, nat = 5, ntyp = 4
/
ATOMIC_SPECIES
Li 6.94 Li.upf
Ac 227.00 Ac.upf
In 114.82 In.upf
Ag 107.87 Ag.upf
ATOMIC_POSITIONS crystal
Li 0.750 0.250 0.500
Ac 0.000 0.000 0.000
In 0.626 0.626 0.252
In 0.374 0.374 0.748
Ag 0.250 0.750 0.500
CELL_PARAMETERS angstrom
4.824 0.000 0.000
0.000 4.824 0.000
-2.412 -2.412 5.584
```

=====

Below is a geometry-optimized Tc2OsRu structure, with properties calculated at the PBE-GGA level. Values from VASP.

Output
ρ ... 14.07 g/cm³
Formation energy ... 62 meV/atom
E_tot ... -10.25 eV per atom
SG ... Cm (8)
Energy above the lowest structure with this stoichiometry ... 139 meV/atom
Density of states at the Fermi level ... 1.129 states/eV/atom

```
&SYSTEM
  ibrav = 0, nat = 4, ntyp = 3
/
ATOMIC_SPECIES
Os 190.23 Os.upf
Ru 101.07 Ru.upf
Tc 98.00 Tc.upf
ATOMIC_POSITIONS crystal
Os 0.501 0.501 0.495
Ru 0.750 0.750 0.753
Tc 0.002 0.002 0.995
Tc 0.247 0.247 0.257
CELL_PARAMETERS angstrom
4.731 0.003 -0.009
3.945 2.610 -0.009
0.778 0.234 4.660
```

=====

Below is a geometry-optimized Rh2SeCl structure, with properties calculated at the PBE-GGA level. Values from VASP.

Output
ρ ... 6.97 g/cm³
Formation energy from raw total energies ... 0.248 eV per atom
E_tot ... -4.76 eV per atom
SG ... Cmmm (65)
Energy above the lowest structure with this stoichiometry ... 308 meV/atom
Density of states at the Fermi level ... 0.762 states/eV/atom

```
&SYSTEM
  ibrav = 0, nat = 4, ntyp = 3
/
ATOMIC_SPECIES
Cl 35.45 Cl.upf
Rh 102.91 Rh.upf
Se 78.96 Se.upf
ATOMIC_POSITIONS crystal
Cl 0.500 0.500 0.750
Rh 0.000 0.000 0.026
Rh 0.000 0.000 0.474
Se 0.500 0.500 0.250
CELL_PARAMETERS angstrom
-0.585 -1.501 -3.142
-1.549 -1.097 2.977
-5.535 4.622 -1.176
```

=====

Below is a geometry-optimized Mg3ScRh structure, with properties calculated at the PBE-GGA level. Values from VASP.

Output
ρ ... 3.14 g/cm³
Formation energy ... 24 meV/atom
E_tot ... -3.67 eV per atom
SG ... Pm-3m (221)
Energy above the lowest structure with this stoichiometry ... 0 meV/atom
Density of states at the Fermi level ... 0.991 states/eV/atom

```
&SYSTEM
  ibrav = 0, nat = 5, ntyp = 3
/
ATOMIC_SPECIES
Sc 44.96 Sc.upf
Mg 24.30 Mg.upf
Rh 102.91 Rh.upf
ATOMIC_POSITIONS crystal
Sc 0.500 0.500 0.500
Mg 0.000 0.500 0.000
Mg 0.000 0.000 0.500
Mg 0.500 0.000 0.000
Rh 0.000 0.000 0.000
CELL_PARAMETERS angstrom
4.886 0.000 0.000
0.000 4.886 0.000
0.000 0.000 4.886
```